This record from the Alexandria database describes crystalline CeGa4Pd3 at its relaxed geometry. The functional is PBE-GGA.

Geometry as POSCAR:
```
CeGa4Pd3
1.0
-2.2617 -1.7626 3.2241
-3.2183 -0.8769 -2.7369
3.3599 -7.2748 -1.6201
Ga Ce Pd
4 1 3
Cartesian
1.6361 -6.8723 0.2779
-0.5379 -2.1651 1.3262
-1.0162 -1.7222 -1.6544
1.1578 -6.4294 -2.7027
1.6800 -3.6374 -0.8101
0.0000 0.0000 0.0000
-0.5192 -6.1280 -0.8272
-1.6008 -3.7862 -0.3057
```

Values from the calculation:
The value obtained for the total moment is 0.114 μB per atom. For the formation energy, the calculation gives -0.598 eV/atom. As for the space group: P4/mmm, No. 123. The calculation puts the calculated density at 8.1 Mg/m³. Its calculated total energy is -0.1764 hartree per atom.